# Nd3Ga7Os2 | Alexandria | PBE | relaxed
data_Nd3Ga7Os2
_cell_length_a 4.738
_cell_length_b 4.738
_cell_length_c 24.545
_cell_angle_alpha 90.00
_cell_angle_beta 90.00
_cell_angle_gamma 90.00
_symmetry_space_group_name_H-M 'I 4/m m m'
_symmetry_Int_Tables_number 139
_symmetry_space_group_name_Hall '-I 4 2'
loop_
_atom_site_label
_atom_site_type_symbol
_atom_site_fract_x
_atom_site_fract_y
_atom_site_fract_z
Nd1 Nd 0.000 0.000 0.000
Nd2 Nd 0.000 0.000 0.180
Ga1 Ga 0.000 0.000 0.299
Ga2 Ga 0.000 0.000 0.500
Ga3 Ga 0.000 0.500 0.092
Os1 Os 0.000 0.000 0.401
# **Theoretical density**: 7.8 g/cm3
# **Final energy**: -5.1321 eV per atom
# **ΔH_f (0 K)**: -0.30 eV/atom

=====

# LaSe4Br | Alexandria | PBE | relaxed
data_LaSe4Br
_cell_length_a 8.235
_cell_length_b 8.235
_cell_length_c 8.235
_cell_angle_alpha 90.00
_cell_angle_beta 90.00
_cell_angle_gamma 90.00
_symmetry_space_group_name_H-M 'F -4 3 m'
_symmetry_Int_Tables_number 216
_symmetry_space_group_name_Hall 'F -4 2 3'
loop_
_atom_site_label
_atom_site_type_symbol
_atom_site_fract_x
_atom_site_fract_y
_atom_site_fract_z
La1 La 0.000 0.000 0.000
Se1 Se 0.126 0.126 0.626
Br1 Br 0.250 0.250 0.250
# **Theoretical density**: 6.4 g/cm3
# **Final energy**: -4.0229 eV per atom
# **Formation energy from raw total energies**: -0.600 eV/atom

=====

# NbSbI2N | Alexandria | PBE | relaxed
data_NbSbI2N
_cell_length_a 5.629
_cell_length_b 5.629
_cell_length_c 5.413
_cell_angle_alpha 90.00
_cell_angle_beta 90.00
_cell_angle_gamma 90.00
_symmetry_space_group_name_H-M 'P 4/m m m'
_symmetry_Int_Tables_number 123
_symmetry_space_group_name_Hall '-P 4 2'
loop_
_atom_site_label
_atom_site_type_symbol
_atom_site_fract_x
_atom_site_fract_y
_atom_site_fract_z
Nb1 Nb 0.000 0.000 0.000
Sb1 Sb 0.000 0.000 0.500
I1 I 0.000 0.500 0.000
N1 N 0.500 0.500 0.500
# **Theoretical density**: 4.7 g/cm3
# **Relative energy among the computed polymorphs**: 856 meV per atom
# **Final energy**: -3.9709 eV per atom
# **Formation energy from raw total energies**: 1.153 eV/atom

=====

# Ac2CdTe | Alexandria | PBE | relaxed
data_Ac2CdTe
_cell_length_a 8.182
_cell_length_b 8.182
_cell_length_c 8.182
_cell_angle_alpha 90.00
_cell_angle_beta 90.00
_cell_angle_gamma 90.00
_symmetry_space_group_name_H-M 'F m -3 m'
_symmetry_Int_Tables_number 225
_symmetry_space_group_name_Hall '-F 4 2 3'
loop_
_atom_site_label
_atom_site_type_symbol
_atom_site_fract_x
_atom_site_fract_y
_atom_site_fract_z
Ac1 Ac 0.250 0.250 0.250
Cd1 Cd 0.000 0.000 0.000
Te1 Te 0.000 0.000 0.500
# **Theoretical density**: 8.4 g/cm3
# **Relative energy among the computed polymorphs**: 110 meV per atom
# **Final energy**: -3.7230 eV per atom
# **Formation energy from raw total energies**: -0.655 eV/atom